No. 1
Compound: YRuSe2
Source: the Alexandria database
Functional: PBE
Structure: relaxed

## Properties
The total magnetization comes out at 0.00 μB/f.u. The calculation puts the uncorrected formation energy at -746 meV per atom. As for the excess energy over the best structure of this formula in the dataset: 0.23 eV per formula unit. The calculation puts the total DFT energy (no corrections) at -25.69 eV/cell.

Lattice parameters (Å, degrees): 4.9916 4.9916 4.9916 132.66 113.95 85.20
With the nearest neighbours (Å) after each atom.
Element x y z (fractional)
Ru 0.2500 0.7500 0.5000  4 Se 2.50
Se 0.0471 0.0471 0.0000  2 Ru 2.50
Se 0.4529 0.4529 0.0000  2 Ru 2.50
Y 0.7500 0.2500 0.5000  8 Se 2.96-3.10

---

No. 2
Compound: KNpTl2Te4
Source: the Alexandria database
Functional: PBE
Structure: relaxed

## Properties
The total magnetization comes out at 2.41 μB/f.u. The calculation puts the uncorrected formation energy at -531 meV per atom. The calculation puts the total DFT energy (no corrections) at -35.58 eV/cell.

Lattice parameters (Å, degrees): 4.5379 8.2455 8.4046 72.33 90.00 90.00
With the nearest neighbours (Å) after each atom.
Element x y z (fractional)
K 0.5000 0.5000 0.0000  6 Te 3.45
Np 0.0000 0.5000 0.5000  6 Te 2.97-3.09
Tl 0.0000 0.0000 0.0000  6 Te 3.62-3.76
Tl 0.5000 0.0000 0.5000  6 Te 3.28-3.31
Te 0.0000 0.7317 0.7099  1 Np 2.97, 2 Tl 3.28
Te 0.0000 0.2684 0.2901  1 Np 2.97, 2 Tl 3.28
Te 0.5000 0.7176 0.2912  2 Np 3.09, 1 Tl 3.31, 1 K 3.45
Te 0.5000 0.2824 0.7088  2 Np 3.09, 1 Tl 3.31, 1 K 3.45

---

No. 3
Compound: U4TlPd3S12
Source: the Alexandria database
Functional: PBE
Structure: relaxed

## Properties
The total magnetization comes out at 7.00 μB/f.u. The calculation puts the uncorrected formation energy at -861 meV per atom. The calculation puts the total DFT energy (no corrections) at -129.85 eV/cell.

Lattice parameters (Å, degrees): 8.4472 8.4472 8.4472 109.47 109.47 109.47
With the nearest neighbours (Å) after each atom.
Element x y z (fractional)
U 0.5000 0.0000 0.0000  6 S 2.66
U 0.5000 0.5000 0.5000  6 S 2.66
U 0.0000 0.5000 0.0000  6 S 2.66
U 0.0000 0.0000 0.5000  6 S 2.66
Tl 0.0000 0.0000 0.0000  12 S 3.49
Pd 0.0000 0.5000 0.5000  4 S 2.40
Pd 0.5000 0.5000 0.0000  4 S 2.40
Pd 0.5000 0.0000 0.5000  4 S 2.40
S 0.3176 0.8350 0.1526  1 Pd 2.40, 2 U 2.66
S 0.6824 0.1650 0.8474  1 Pd 2.40, 2 U 2.66
S 0.6824 0.8350 0.5174  1 Pd 2.40, 2 U 2.66
S 0.8474 0.6824 0.1650  1 Pd 2.40, 2 U 2.66
S 0.8350 0.1526 0.3176  1 Pd 2.40, 2 U 2.66
S 0.1650 0.4826 0.3176  1 Pd 2.40, 2 U 2.66
S 0.4826 0.3176 0.1650  1 Pd 2.40, 2 U 2.66
S 0.1650 0.8474 0.6824  1 Pd 2.40, 2 U 2.66
S 0.3176 0.1650 0.4826  1 Pd 2.40, 2 U 2.66
S 0.1526 0.3176 0.8350  1 Pd 2.40, 2 U 2.66
S 0.8350 0.5174 0.6824  1 Pd 2.40, 2 U 2.66
S 0.5174 0.6824 0.8350  1 Pd 2.40, 2 U 2.66